# 1
Here is a geometry-optimized PaSnIr2 structure from Alexandria via LeMat-Bulk. Energies are from PBE-GGA.

Lattice parameters (Å, degrees): 5.1004 5.1004 5.1004 53.61 53.61 53.61
Fractional coordinates of all 4 atoms:
1 Pa 0.0000 0.0000 0.0000
2 Sn 0.5000 0.5000 0.5000
3 Ir 0.2220 0.2220 0.2220
4 Ir 0.7780 0.7780 0.7780

Calculated values
The value obtained for the energy above the lowest structure with this stoichiometry is 0.000 eV per atom. For the volume, the calculation gives 19.9 Å³/atom. The formation energy comes out at -0.534 eV/atom.

***

# 2
Here is a geometry-optimized CoReP6 structure from Alexandria via LeMat-Bulk. Energies are from PBE-GGA.

Lattice parameters (Å, degrees): 4.7691 4.7691 5.6405 92.25 92.25 116.20
Fractional coordinates of all 8 atoms:
1 Co 0.0000 0.0000 0.0000
2 Re 0.9705 0.0295 0.5000
3 P 0.0057 0.5834 0.7024
4 P 0.1393 0.4441 0.2206
5 P 0.4166 0.9943 0.2976
6 P 0.4187 0.2484 0.7861
7 P 0.5559 0.8607 0.7794
8 P 0.7516 0.5813 0.2139

Calculated values
For the volume, the calculation gives 14.3 Å³/atom. The formation energy comes out at 0.070 eV/atom.

***

# 3
Here is a geometry-optimized CeSm2Zn structure from Alexandria via LeMat-Bulk. Energies are from PBE-GGA.

Lattice parameters (Å, degrees): 11.6444 11.6444 11.6444 16.77 16.77 16.77
Fractional coordinates of all 4 atoms:
1 Ce 0.0000 0.0000 0.0000
2 Sm 0.0979 0.0979 0.0979
3 Sm 0.9021 0.9021 0.9021
4 Zn 0.5000 0.5000 0.5000

Calculated values
The value obtained for the energy above the lowest structure with this stoichiometry is 0.267 eV per atom. For the volume, the calculation gives 28.7 Å³/atom. The formation energy comes out at 0.158 eV/atom.